Computed, not measured: an optimized crystal structure of CaOsW at the PBE level of DFT.

Cell lengths 7.628, 7.444, 2.828 Å; angles 82.89, 75.53, 21.58 degrees
Fractional coordinates of all 3 atoms:
W: 0.682 0.682 0.318
Ca: 0.995 0.995 0.005
Os: 0.323 0.323 0.677

Computed properties:
The volume comes out at 18.2 A^3/atom. The crystal system is orthorhombic. As for the energy of formation: 0.711 eV/atom. The calculation puts the uncorrected energy at -24.1 eV for the cell shown. For the energy above the most stable polymorph in this dataset, the calculation gives 0.844 eV/f.u. As for the magnetic moment: 0.0 μB per formula unit.


Computed, not measured: an optimized crystal structure of Th2CdPt9 at the PBE level of DFT.

Cell lengths 5.449, 5.449, 9.509 Å; angles 73.35, 73.35, 60.00 degrees
Fractional coordinates of all 12 atoms:
Pt: 0.332 0.332 0.003
Pt: 0.500 0.500 0.500
Pt: 0.412 0.920 0.256
Pt: 0.412 0.412 0.256
Pt: 0.588 0.588 0.744
Pt: 0.080 0.588 0.744
Pt: 0.920 0.412 0.256
Pt: 0.668 0.668 0.997
Pt: 0.588 0.080 0.744
Th: 0.135 0.135 0.596
Th: 0.865 0.865 0.404
Cd: 0.000 0.000 0.000

Computed properties:
The volume comes out at 19.2 A^3/atom. The crystal system is trigonal. As for the energy of formation: -0.687 eV/atom. The calculation puts the uncorrected energy at -78.4 eV for the cell shown. For the energy above the most stable polymorph in this dataset, the calculation gives 1.665 eV/f.u. As for the magnetic moment: 0.0 μB per formula unit.


Computed, not measured: an optimized crystal structure of Cd2Ag8Bi at the PBE level of DFT.

Cell lengths 5.216, 5.940, 7.869 Å; angles 112.18, 88.99, 90.00 degrees
Fractional coordinates of all 11 atoms:
Ag: 0.326 0.084 0.660
Ag: 0.000 0.259 0.000
Ag: 0.326 0.576 0.660
Ag: 0.000 0.741 0.000
Ag: 0.840 0.830 0.660
Ag: 0.674 0.424 0.340
Ag: 0.674 0.916 0.340
Ag: 0.160 0.170 0.340
Bi: 0.500 0.000 0.000
Cd: 0.181 0.660 0.320
Cd: 0.819 0.340 0.680

Computed properties:
The volume comes out at 20.5 A^3/atom. The crystal system is monoclinic. As for the energy of formation: 0.047 eV/atom. The calculation puts the uncorrected energy at -28.0 eV for the cell shown. For the energy above the most stable polymorph in this dataset, the calculation gives 0.000 eV/f.u. As for the magnetic moment: 0.0 μB per formula unit.


Computed, not measured: an optimized crystal structure of BaRuW3 at the PBE level of DFT.

Cell lengths 4.874, 4.874, 4.874 Å; angles 90.00, 90.00, 90.00 degrees
Fractional coordinates of all 5 atoms:
W: 0.000 0.000 0.500
W: 0.000 0.500 0.000
W: 0.500 0.000 0.000
Ru: 0.500 0.500 0.500
Ba: 0.000 0.000 0.000

Computed properties:
The volume comes out at 23.2 A^3/atom. The crystal system is cubic. As for the energy of formation: 4.078 eV/atom. The calculation puts the uncorrected energy at -29.7 eV for the cell shown. For the energy above the most stable polymorph in this dataset, the calculation gives 11.764 eV/f.u. As for the magnetic moment: 0.0 μB per formula unit.


Computed, not measured: an optimized crystal structure of TaNiOs at the PBE level of DFT.

Cell lengths 4.754, 6.205, 5.850 Å; angles 90.00, 90.00, 90.00 degrees
Fractional coordinates of all 12 atoms:
Os: 0.250 0.668 0.459
Os: 0.750 0.168 0.959
Os: 0.750 0.332 0.459
Os: 0.250 0.832 0.959
Ni: 0.500 0.000 0.612
Ni: 0.000 0.000 0.612
Ni: 0.500 0.500 0.112
Ni: 0.000 0.500 0.112
Ta: 0.250 0.347 0.750
Ta: 0.750 0.653 0.750
Ta: 0.750 0.847 0.250
Ta: 0.250 0.153 0.250

Computed properties:
The volume comes out at 14.4 A^3/atom. The crystal system is orthorhombic. As for the energy of formation: -0.180 eV/atom. The calculation puts the uncorrected energy at -117.6 eV for the cell shown. For the energy above the most stable polymorph in this dataset, the calculation gives 0.488 eV/f.u. As for the magnetic moment: 0.0 μB per formula unit.


Computed, not measured: an optimized crystal structure of TcRu2SO at the PBE level of DFT.

Cell lengths 4.320, 4.408, 4.320 Å; angles 90.00, 90.00, 90.00 degrees
Each line ends with the local moment (μB).
Fractional coordinates of all 5 atoms:
Ru: 0.000 0.000 0.500  0.93
Ru: 0.500 0.000 0.000  1.13
O: 0.500 0.500 0.500  0.80
Tc: 0.000 0.500 0.000  1.59
S: 0.000 0.000 0.000  -0.04

Computed properties:
The volume comes out at 16.5 A^3/atom. The crystal system is tetragonal. The calculation puts the uncorrected energy at -32.3 eV for the cell shown. As for the magnetic moment: 4.7 μB per formula unit.


Computed, not measured: an optimized crystal structure of Ca3Ac8Pr at the PBE level of DFT.

Cell lengths 9.479, 9.479, 9.479 Å; angles 91.59, 119.08, 119.08 degrees
Fractional coordinates of all 12 atoms:
Ac: 0.000 0.270 0.804
Ac: 0.000 0.642 0.904
Ac: 0.466 0.196 0.196
Ac: 0.000 0.804 0.270
Ac: 0.738 0.096 0.096
Ac: 0.534 0.730 0.730
Ac: 0.262 0.358 0.358
Ac: 0.000 0.904 0.642
Ca: 0.500 0.750 0.250
Ca: 0.000 0.500 0.500
Ca: 0.500 0.250 0.750
Pr: 0.000 0.000 0.000

Computed properties:
The volume comes out at 50.9 A^3/atom. The crystal system is tetragonal. As for the energy of formation: 0.508 eV/atom. The calculation puts the uncorrected energy at -37.6 eV for the cell shown. As for the magnetic moment: 0.0 μB per formula unit.


Computed, not measured: an optimized crystal structure of TaTl3Br at the PBE level of DFT.

Cell lengths 5.903, 5.903, 5.903 Å; angles 90.00, 90.00, 90.00 degrees
Each line ends with the local moment (μB).
Fractional coordinates of all 5 atoms:
Ta: 0.500 0.500 0.500  2.28
Tl: 0.500 0.000 0.000  0.01
Tl: 0.000 0.500 0.000  0.02
Tl: 0.000 0.000 0.500  0.03
Br: 0.000 0.000 0.000  0.01

Computed properties:
The volume comes out at 41.1 A^3/atom. The crystal system is cubic. The calculation puts the uncorrected energy at -14.6 eV for the cell shown. For the energy above the most stable polymorph in this dataset, the calculation gives 3.341 eV/f.u. As for the magnetic moment: 3.9 μB per formula unit.


Computed, not measured: an optimized crystal structure of Mg3BMo at the PBE level of DFT.

Cell lengths 5.225, 5.225, 5.225 Å; angles 90.00, 90.00, 90.00 degrees
Each line ends with the local moment (μB).
Fractional coordinates of all 5 atoms:
Mo: 0.000 0.000 0.000  2.18
Mg: 0.500 0.000 0.000  0.03
Mg: 0.000 0.500 0.000  0.01
Mg: 0.000 0.000 0.500  -0.01
B: 0.500 0.500 0.500  -0.16

Computed properties:
The volume comes out at 28.5 A^3/atom. The crystal system is cubic. As for the energy of formation: 1.944 eV/atom. The calculation puts the uncorrected energy at -12.6 eV for the cell shown. For the energy above the most stable polymorph in this dataset, the calculation gives 5.269 eV/f.u. As for the magnetic moment: 2.4 μB per formula unit.


Computed, not measured: an optimized crystal structure of FeNi2Br at the PBE level of DFT.

Cell lengths 4.011, 4.011, 6.062 Å; angles 80.24, 80.24, 47.52 degrees
Each line ends with the local moment (μB).
Fractional coordinates of all 4 atoms:
Br: 0.622 0.622 0.484  0.08
Fe: 0.237 0.237 0.161  3.02
Ni: 0.957 0.957 0.996  0.79
Ni: 0.684 0.684 0.858  0.59

Computed properties:
The volume comes out at 17.7 A^3/atom. The crystal system is monoclinic. The calculation puts the uncorrected energy at -20.2 eV for the cell shown. For the energy above the most stable polymorph in this dataset, the calculation gives 0.417 eV/f.u. As for the magnetic moment: 4.5 μB per formula unit.


Computed, not measured: an optimized crystal structure of Ti12V5Si3 at the PBE level of DFT.

Cell lengths 12.659, 12.659, 12.659 Å; angles 109.47, 109.47, 109.47 degrees
Each line ends with the local moment (μB).
Fractional coordinates of all 80 atoms:
Si: 0.250 0.125 0.375  0.00
Si: 0.125 0.875 0.750  0.00
Si: 0.250 0.625 0.875  0.00
Si: 0.750 0.875 0.625  0.00
Si: 0.750 0.375 0.125  0.00
Si: 0.125 0.250 0.875  0.00
Si: 0.875 0.125 0.250  0.00
Si: 0.625 0.375 0.750  0.00
Si: 0.625 0.250 0.375  0.00
Si: 0.375 0.750 0.625  0.00
Si: 0.375 0.625 0.250  0.00
Si: 0.875 0.750 0.125  0.00
V: 0.000 0.500 0.000  0.11
V: 0.750 0.125 0.875  2.56
V: 0.500 0.000 0.500  0.11
V: 0.250 0.875 0.125  2.56
V: 0.125 0.375 0.250  2.56
V: 0.000 0.000 0.500  0.11
V: 0.250 0.375 0.625  2.56
V: 0.375 0.125 0.750  2.56
V: 0.500 0.500 0.500  0.11
V: 0.000 0.500 0.500  0.11
V: 0.500 0.000 0.000  0.11
V: 0.625 0.875 0.250  2.56
V: 0.500 0.500 0.000  0.11
V: 0.875 0.250 0.625  2.56
V: 0.625 0.750 0.875  2.56
V: 0.375 0.250 0.125  2.56
V: 0.750 0.625 0.375  2.56
V: 0.875 0.625 0.750  2.56
V: 0.125 0.750 0.375  2.56
V: 0.000 0.000 0.000  0.11
Ti: 0.721 0.132 0.062  0.11
Ti: 0.632 0.062 0.221  0.11
Ti: 0.779 0.438 0.368  0.11
Ti: 0.132 0.721 0.562  0.11
Ti: 0.868 0.279 0.438  0.11
Ti: 0.779 0.341 0.912  0.11
Ti: 0.341 0.562 0.430  0.11
Ti: 0.588 0.868 0.430  0.11
Ti: 0.721 0.588 0.159  0.11
Ti: 0.159 0.070 0.938  0.11
Ti: 0.841 0.930 0.062  0.11
Ti: 0.930 0.841 0.562  0.11
Ti: 0.570 0.938 0.659  0.11
Ti: 0.062 0.430 0.841  0.11
Ti: 0.279 0.868 0.938  0.11
Ti: 0.430 0.368 0.588  0.11
Ti: 0.438 0.779 0.868  0.11
Ti: 0.659 0.221 0.588  0.11
Ti: 0.070 0.912 0.132  0.11
Ti: 0.159 0.088 0.721  0.11
Ti: 0.368 0.938 0.779  0.11
Ti: 0.221 0.659 0.088  0.11
Ti: 0.062 0.632 0.721  0.11
Ti: 0.868 0.588 0.930  0.11
Ti: 0.562 0.341 0.930  0.11
Ti: 0.659 0.438 0.570  0.11
Ti: 0.368 0.430 0.088  0.11
Ti: 0.912 0.841 0.779  0.11
Ti: 0.088 0.930 0.368  0.11
Ti: 0.562 0.221 0.132  0.11
Ti: 0.221 0.562 0.632  0.11
Ti: 0.912 0.070 0.632  0.11
Ti: 0.438 0.659 0.070  0.11
Ti: 0.938 0.570 0.159  0.11
Ti: 0.279 0.412 0.841  0.11
Ti: 0.930 0.088 0.868  0.11
Ti: 0.088 0.159 0.221  0.11
Ti: 0.341 0.779 0.412  0.11
Ti: 0.632 0.570 0.912  0.11
Ti: 0.938 0.368 0.279  0.11
Ti: 0.412 0.279 0.341  0.11
Ti: 0.430 0.062 0.341  0.11
Ti: 0.132 0.412 0.070  0.11
Ti: 0.412 0.132 0.570  0.11
Ti: 0.588 0.721 0.659  0.11
Ti: 0.570 0.632 0.412  0.11
Ti: 0.070 0.159 0.438  0.11
Ti: 0.841 0.912 0.279  0.11

Computed properties:
The volume comes out at 19.5 A^3/atom. The crystal system is cubic. The calculation puts the uncorrected energy at -561.4 eV for the cell shown. As for the magnetic moment: 10.2 μB per formula unit.


Computed, not measured: an optimized crystal structure of Fe3As2 at the PBE level of DFT.

Cell lengths 9.394, 9.394, 9.394 Å; angles 17.72, 17.72, 17.72 degrees
Each line ends with the local moment (μB).
Fractional coordinates of all 5 atoms:
As: 0.399 0.399 0.399  -0.04
As: 0.601 0.601 0.601  -0.04
Fe: 0.198 0.198 0.198  2.40
Fe: 0.802 0.802 0.802  2.40
Fe: 0.000 0.000 0.000  0.90

Computed properties:
The volume comes out at 13.4 A^3/atom. The crystal system is trigonal. As for the energy of formation: 0.179 eV/atom. The calculation puts the uncorrected energy at -33.8 eV for the cell shown. As for the magnetic moment: 5.6 μB per formula unit.